[1]
PmNd2YHo after structural relaxation. Source: Alexandria via LeMat-Bulk, functional GGA-PBE.

Geometry as POSCAR:
```
PmNd2YHo
1.0
4.217 -5.865 0.000
4.217 5.865 0.000
0.000 0.000 7.279
Pm Nd Y Ho
2 4 2 2
Cartesian
4.217 3.323 5.459
4.217 -3.323 1.820
1.632 0.000 0.000
1.632 0.000 3.639
6.802 0.000 0.000
6.802 0.000 3.639
4.217 3.018 1.820
4.217 -3.018 5.459
4.217 0.247 5.459
4.217 -0.247 1.820
```

Values from the calculation:
SG: Cmcm
formation energy from the elements: 0.39 eV/atom

[2]
PmNdY2Ho after structural relaxation. Source: Alexandria via LeMat-Bulk, functional GGA-PBE.

Geometry as POSCAR:
```
PmNdY2Ho
1.0
4.241 -5.781 0.000
4.241 5.781 0.000
0.000 0.000 7.204
Pm Nd Y Ho
2 2 4 2
Cartesian
4.241 5.754 5.403
4.241 -5.754 1.801
4.241 2.663 5.403
4.241 -2.663 1.801
2.650 0.000 0.000
2.650 0.000 3.602
5.832 0.000 0.000
5.832 0.000 3.602
4.241 2.591 1.801
4.241 -2.591 5.403
```

Values from the calculation:
SG: Cmcm
formation energy from the elements: 0.39 eV/atom

[3]
Pm6Nd3Y2Ho after structural relaxation. Source: Alexandria via LeMat-Bulk, functional GGA-PBE.

Geometry as POSCAR:
```
Pm6Nd3Y2Ho
1.0
3.153 -5.462 0.000
3.153 5.462 0.000
-2.101 0.000 11.842
Pm Nd Y Ho
6 3 2 1
Cartesian
1.050 1.815 2.917
-0.006 0.000 8.923
1.050 -1.815 2.917
3.155 1.815 8.925
4.211 0.000 2.919
3.155 -1.815 8.925
2.102 3.641 5.921
2.102 0.000 5.921
2.102 -3.641 5.921
3.153 1.820 0.000
3.153 -1.820 0.000
0.000 0.000 0.000
```

Values from the calculation:
SG: C2/m
formation energy from the elements: 0.01 eV/atom

[4]
PmNd2Y6Ho3 after structural relaxation. Source: Alexandria via LeMat-Bulk, functional GGA-PBE.

Geometry as POSCAR:
```
PmNd2Y6Ho3
1.0
3.108 -5.379 0.000
3.108 5.379 0.000
-2.064 0.000 11.669
Pm Nd Y Ho
1 2 6 3
Cartesian
0.000 0.000 0.000
3.108 1.791 0.000
3.108 -1.791 0.000
1.039 1.792 2.958
0.004 0.000 8.709
1.039 -1.792 2.958
3.113 1.792 8.711
4.148 0.000 2.960
3.113 -1.792 8.711
2.076 3.587 5.835
2.076 0.000 5.835
2.076 -3.587 5.835
```

Values from the calculation:
SG: C2/m
formation energy from the elements: 0.02 eV/atom